10
Lattice="0.000 4.063 4.063 4.063 0.000 4.063 4.063 4.063 0.000" Properties=species:S:1:pos:R:3 comment="NaNdEuWO6 PBE+U optimized geometry" polymorph_energy_ev_per_fu=0.87 dos_at_fermi_per_ev_cell=2.84 space_group="F-43m, No. 216" pbc="T T T"
Na 0.000 0.000 0.000
Nd 6.095 6.095 6.095
Eu 2.032 2.032 2.032
W 4.063 4.063 4.063
O 4.063 4.063 2.131
O 4.063 2.131 4.063
O 5.995 4.063 4.063
O 2.131 4.063 4.063
O 4.063 5.995 4.063
O 4.063 4.063 5.995